[1]
Density functional theory data (GGA-PBE) for an optimized crystal structure of LiAcErIr.

Summary:
Energy relative to the elements   -0.38 eV per atom

Lattice parameters (Å, degrees): 5.133 5.133 5.133 60.00 60.00 60.00
Positions (direct):
Li 0.000 0.000 0.000
Ir 0.500 0.500 0.500
Er 0.750 0.750 0.750
Ac 0.250 0.250 0.250

---

[2]
Density functional theory data (GGA-PBE) for an optimized crystal structure of Y3ThMg2.

Summary:
Energy relative to the elements   -0.07 eV per atom

Lattice parameters (Å, degrees): 3.645 3.645 13.138 90.00 90.00 90.00
Site moments in Bohr magnetons follow the coordinates.
Positions (direct):
Th 0.500 0.500 0.500  0.00
Y 0.000 0.000 0.000  0.10
Y 0.000 0.000 0.316  -0.01
Y 0.000 0.000 0.684  -0.01
Mg 0.500 0.500 0.156  0.00
Mg 0.500 0.500 0.844  0.00

---

[3]
Density functional theory data (GGA-PBE) for an optimized crystal structure of DyAg2.

Summary:
Energy relative to the elements   0.02 eV per atom

Lattice parameters (Å, degrees): 3.268 3.268 14.773 83.56 83.56 119.80
Positions (direct):
Ag 0.589 0.755 0.078
Ag 0.245 0.411 0.422
Ag 0.411 0.245 0.922
Ag 0.755 0.589 0.578
Dy 0.751 0.249 0.250
Dy 0.249 0.751 0.750

---

[4]
Density functional theory data (GGA-PBE) for an optimized crystal structure of TaVH.

Summary:
ΔE to the lowest computed polymorph   0.223 eV per atom

Lattice parameters (Å, degrees): 4.978 2.833 2.833 120.00 90.00 90.00
Positions (direct):
Ta 0.725 0.667 0.333
H 0.036 0.000 0.000
V 0.239 0.333 0.667

---

[5]
Density functional theory data (GGA-PBE) for an optimized crystal structure of RbNbP3.

Summary:
Energy relative to the elements   -0.06 eV per atom
ΔE to the lowest computed polymorph   0.000 eV per atom

Lattice parameters (Å, degrees): 4.939 4.939 4.939 90.00 90.00 90.00
Positions (direct):
P 0.000 0.500 0.000
P 0.500 0.000 0.000
P 0.000 0.000 0.500
Rb 0.500 0.500 0.500
Nb 0.000 0.000 0.000

---

[6]
Density functional theory data (GGA-PBE) for an optimized crystal structure of Ca3Pm.

Summary:
Energy relative to the elements   0.10 eV per atom
ΔE to the lowest computed polymorph   0.080 eV per atom

Lattice parameters (Å, degrees): 6.042 6.042 6.037 120.03 120.03 90.00
Positions (direct):
Ca 0.250 0.750 0.500
Ca 0.750 0.250 0.500
Ca 0.500 0.500 0.000
Pm 0.000 0.000 0.000

---

no.,DOS at the Fermi energy (states/eV/cell),DFT total energy (eV/atom)
1,3.076,-5.24
2,5.795,-5.07
3,3.329,-3.41
4,3.159,-8.02
5,2.309,-5.51
6,6.216,-2.59